Entry a
## FeTcH2 (GGA-PBE)

Data for a relaxed FeTcH2 crystal.

a b c (Å): 4.916 4.916 4.916
angles (deg): 132.18 132.18 69.95
Atoms (fractional coordinates):
Fe (0.000, 0.000, 0.000)
Fe (0.750, 0.250, 0.500)
Tc (0.250, 0.750, 0.500)
Tc (0.500, 0.500, 0.000)
H (0.091, 0.625, 0.966)
H (0.375, 0.341, 0.466)
H (0.659, 0.125, 0.034)
H (0.875, 0.909, 0.534)

Space-group type: No. 122
Theoretical density, kg/m3: 8090



Entry b
## FeTcH2 (GGA-PBE)

Data for a relaxed FeTcH2 crystal.

a b c (Å): 4.960 4.960 4.960
angles (deg): 31.94 31.94 31.94
Atoms (fractional coordinates):
Fe (0.000, 0.000, 0.000)
Tc (0.819, 0.819, 0.819)
H (0.392, 0.392, 0.392)
H (0.592, 0.592, 0.592)

Space-group type: No. 160
Theoretical density, kg/m3: 8530



Entry c
## FeTcH2 (GGA-PBE)

Data for a relaxed FeTcH2 crystal.

a b c (Å): 5.062 5.062 5.062
angles (deg): 33.06 33.06 33.06
Atoms (fractional coordinates):
Fe (0.000, 0.000, 0.000)
Tc (0.500, 0.500, 0.500)
H (0.115, 0.115, 0.115)
H (0.885, 0.885, 0.885)

Space-group type: No. 166
Theoretical density, kg/m3: 7533



Stability ranking, top entry: entry a; the second entry is 0.033 eV/atom less favorable.